Entry 1:
# KLiBr

A geometry-optimized KLiBr structure (PBE, the Alexandria database).

It has space group P3m1 (No. 156), with a = 4.1647 Å, b = 4.1647 Å, c = 7.1444 Å, α = 90.00°, β = 90.00° and γ = 120.00°. The asymmetric unit holds K at (0.0000, 0.0000, 0.0000), Li at (0.3333, 0.6667, 0.4872) and Br at (0.6667, 0.3333, 0.6509).

As for the magnetization: 0.000 μB per formula unit. As for the crystal system: trigonal. The value obtained for the energy above the most stable polymorph in this dataset is 0.0374 eV/atom.

***

Entry 2:
# KLiBr

A geometry-optimized KLiBr structure (PBE, the Alexandria database).

It has space group Pm (No. 6), with a = 6.844 Å, b = 5.818 Å, c = 6.873 Å, α = 90.00°, β = 118.67° and γ = 90.00°. The asymmetric unit holds K at (0.000, 0.000, 0.000), K at (0.283, 0.500, 0.721), Li at (0.634, 0.250, 0.350), Br at (0.759, 0.500, 0.699) and Br at (0.985, 0.000, 0.478).

As for the magnetization: 0.000 μB per formula unit. As for the crystal system: monoclinic. The value obtained for the energy above the most stable polymorph in this dataset is 0.0375 eV/atom.

***

Entry 3:
# K2LiBr

A geometry-optimized K2LiBr structure (PBE, the Alexandria database).

It has space group F-43m (No. 216), with a = 8.783 Å, b = 8.783 Å, c = 8.783 Å, α = 90.00°, β = 90.00° and γ = 90.00°. The asymmetric unit holds K at (0.000, 0.000, 0.000), K at (0.250, 0.250, 0.250), Li at (0.250, 0.250, 0.750) and Br at (0.000, 0.000, 0.500).

As for the magnetization: 0.000 μB per formula unit. As for the crystal system: cubic. The value obtained for the energy above the most stable polymorph in this dataset is 0.3469 eV/atom.

***

> Which formula does entry 3 have?

K2LiBr

***

> magnetization of number 2 (KLiBr)?

0.000 μB per formula unit